Record 1
Tm2Zn2GaNi5 | PBE-GGA | optimized geometry

Computed properties:
- ΔE_f: -3.34 eV per formula unit
- Volume: 298.08 Å³/cell
- Theoretical density: 9.3 Mg/m³

Cell lengths 9.2415, 9.2415, 3.4902 Å; angles 90.00, 90.00, 90.00 degrees
With the nearest neighbours (Å) after each atom.
Space group P4/mbm (No. 127)
Asymmetric unit:
Tm 0.1763 0.3237 0.0000 [4 per cell]  3 Zn 2.64-2.80, 2 Ni 2.89
Zn 0.1213 0.6213 0.0000 [4 per cell]  6 Ni 2.36-2.47
Ga 0.0000 0.0000 0.0000 [2 per cell]  8 Ni 2.60
Ni 0.0000 0.5000 0.5000 [2 per cell]  4 Zn 2.36
Ni 0.0579 0.7999 0.5000 [8 per cell]  2 Zn 2.47, 2 Ga 2.60, 2 Ni 2.72

Record 2
Tm2ZnGaNi | PBE-GGA | optimized geometry

Computed properties:
- ΔE_f: -2.50 eV per formula unit
- Volume: 198.11 Å³/cell
- Theoretical density: 8.9 Mg/m³

Cell lengths 7.0313, 4.2356, 7.0691 Å; angles 90.00, 109.78, 90.00 degrees
With the nearest neighbours (Å) after each atom.
Space group P2_1/m (No. 11)
Asymmetric unit:
Tm 0.0533 0.2500 0.2099 [2 per cell]  3 Ni 2.72-2.80, 2 Zn 3.03
Tm 0.3440 0.7500 0.6222 [2 per cell]  3 Ni 2.81-2.83, 2 Zn 3.04, 2 Ga 3.14
Zn 0.3457 0.7500 0.1700 [2 per cell]  3 Ga 2.63-2.73
Ga 0.3184 0.2500 0.9406 [2 per cell]  1 Ni 2.44, 3 Zn 2.63-2.73
Ni 0.0708 0.2500 0.6005 [2 per cell]  1 Ga 2.44, 2 Ni 2.56, 1 Tm 2.72

Record 3
TmZnGa2Ni2 | PBE-GGA | optimized geometry

Computed properties:
- ΔE_f: -1.01 eV per formula unit
- Volume: 103.18 Å³/cell
- Theoretical density: 7.9 Mg/m³

Cell lengths 4.3750, 4.3750, 5.3906 Å; angles 90.00, 90.00, 90.00 degrees
With the nearest neighbours (Å) after each atom.
Space group P4/mmm (No. 123)
Asymmetric unit:
Tm 0.0000 0.0000 0.0000 [1 per cell]  2 Zn 2.70
Zn 0.0000 0.0000 0.5000 [1 per cell]  4 Ni 2.19
Ga 0.5000 0.5000 0.2443 [2 per cell]  4 Ni 2.59, 2 Ga 2.63-2.76
Ni 0.0000 0.5000 0.5000 [2 per cell]  2 Zn 2.19

Record 4
TmZrGaNi | PBE-GGA | optimized geometry

Computed properties:
- ΔE_f: -1.50 eV per formula unit
- Volume: 305.72 Å³/cell
- Theoretical density: 8.4 Mg/m³

Cell lengths 6.7366, 6.7366, 6.7366 Å; angles 90.00, 90.00, 90.00 degrees
With the nearest neighbours (Å) after each atom.
Space group F-43m (No. 216)
Asymmetric unit:
Tm 0.0000 0.0000 0.0000 [4 per cell]  4 Ni 2.92, 4 Ga 2.92
Zr 0.0000 0.0000 0.5000 [4 per cell]  4 Ni 2.92, 4 Ga 2.92
Ga 0.2500 0.2500 0.7500 [4 per cell]  4 Zr 2.92, 4 Tm 2.92
Ni 0.2500 0.2500 0.2500 [4 per cell]  4 Zr 2.92, 4 Tm 2.92

Record 5
UGa6Ni12 | PBE-GGA | optimized geometry

Computed properties:
- ΔE_f: -3.14 eV per formula unit
- Volume: 775.21 Å³/cell
- Theoretical density: 8.7 Mg/m³

Cell lengths 10.6500, 10.6500, 7.8920 Å; angles 90.00, 90.00, 120.00 degrees
With the nearest neighbours (Å) after each atom.
Space group R-3m (No. 166, hexagonal axes)
Asymmetric unit:
U 0.0000 0.0000 0.0000 [3 per cell]  6 Ni 2.63
Ga 0.0581 0.5291 0.2462 [18 per cell]  8 Ni 2.36-2.63
Ni 0.0000 0.3836 0.5000 [18 per cell]  4 Ga 2.36-2.42, 3 Ni 2.47-2.48
Ni 0.0814 0.1629 0.2729 [18 per cell]  4 Ni 2.47-2.60, 4 Ga 2.50-2.63, 1 U 2.63

Record 6
U2GaNi3 | PBE-GGA | optimized geometry

Computed properties:
- ΔE_f: -1.86 eV per formula unit
- Volume: 183.71 Å³/cell
- Theoretical density: 13.0 Mg/m³

Cell lengths 5.2467, 5.2467, 7.7062 Å; angles 90.00, 90.00, 120.00 degrees
With the nearest neighbours (Å) after each atom.
Space group P6_3/mmc (No. 194)
Asymmetric unit:
U 0.3333 0.6667 0.0755 [4 per cell]  1 U 2.69, 9 Ni 2.90-2.95
Ga 0.0000 0.0000 0.0000 [2 per cell]  6 Ni 2.49
Ni 0.1737 0.3474 0.7500 [6 per cell]  2 Ga 2.49, 4 Ni 2.51-2.73